Density functional theory data (PBE-GGA) for Rb3HoNp2Te6 after structural relaxation.

a b c (Å): 7.920 13.719 8.940
angles (deg): 90.00 107.18 90.00
Space group C2/m (No. 12)
Asymmetric unit:
Rb 0.000 0.000 0.000 (multiplicity 2)
Rb 0.000 0.333 0.000 (multiplicity 4)
Ho 0.000 0.500 0.500 (multiplicity 2)
Np 0.000 0.167 0.500 (multiplicity 4)
Te 0.231 0.335 0.700 (multiplicity 8)
Te 0.238 0.000 0.700 (multiplicity 4)

Output
The formation energy from raw total energies is -1.039 eV per atom.

***

Density functional theory data (PBE-GGA) for Ta6Ti2V after structural relaxation.

a b c (Å): 4.610 5.431 7.136
angles (deg): 110.19 108.57 90.12
Space group P-1 (No. 2)
Asymmetric unit:
Ta 0.056 0.285 0.113 (multiplicity 2)
Ta 0.169 0.832 0.337 (multiplicity 2)
Ta 0.391 0.959 0.782 (multiplicity 2)
Ti 0.285 0.403 0.571 (multiplicity 2)
V 0.500 0.500 0.000 (multiplicity 1)

Output
The energy of formation comes out at 0.05 eV/atom.

***

Density functional theory data (PBE-GGA) for GdZr6P9O36 after structural relaxation.

a b c (Å): 8.9685 8.9685 22.9128
angles (deg): 90.00 90.00 120.00
Space group P-3c1 (No. 165)
Asymmetric unit:
Gd 0.0000 0.0000 0.0000 (multiplicity 2)
Zr 0.0000 0.0000 0.1491 (multiplicity 4)
Zr 0.3333 0.6667 0.0307 (multiplicity 4)
Zr 0.3333 0.6667 0.3123 (multiplicity 4)
P 0.0000 0.2913 0.2500 (multiplicity 6)
P 0.0548 0.3754 0.9213 (multiplicity 12)
O 0.0245 0.1848 0.9215 (multiplicity 12)
O 0.0308 0.2041 0.1960 (multiplicity 12)
O 0.1228 0.4851 0.5779 (multiplicity 12)
O 0.1518 0.4674 0.8659 (multiplicity 12)
O 0.1584 0.4604 0.9768 (multiplicity 12)
O 0.1588 0.4671 0.2597 (multiplicity 12)

Output
The formation energy from raw total energies is -2.756 eV per atom.

***

Density functional theory data (PBE-GGA) for Pr3NdHo2 after structural relaxation.

a b c (Å): 7.287 10.314 21.876
angles (deg): 90.00 90.00 90.00
Space group Fddd (No. 70, origin choice 2)
Asymmetric unit:
Pr 0.125 0.125 0.125 (multiplicity 8)
Pr 0.125 0.125 0.458 (multiplicity 16)
Nd 0.125 0.125 0.625 (multiplicity 8)
Ho 0.125 0.125 0.291 (multiplicity 16)

Output
For the energy above the most stable polymorph in this dataset, the calculation gives 0.00 eV per formula unit. The energy of formation comes out at 0.02 eV/atom.

***

Density functional theory data (PBE-GGA) for Ta2HgMo after structural relaxation.

a b c (Å): 2.820 4.333 5.951
angles (deg): 90.00 90.00 90.00
Space group Pmmm (No. 47)
Asymmetric unit:
Ta 0.000 0.000 0.238 (multiplicity 2)
Hg 0.500 0.500 0.500 (multiplicity 1)
Mo 0.500 0.500 0.000 (multiplicity 1)

Output
The energy of formation comes out at 0.33 eV/atom.

***

Density functional theory data (PBE-GGA) for LiLuScRu after structural relaxation.

a b c (Å): 6.673 6.673 6.673
angles (deg): 90.00 90.00 90.00
Space group F-43m (No. 216)
Asymmetric unit:
Li 0.000 0.000 0.000 (multiplicity 4)
Lu 0.250 0.250 0.250 (multiplicity 4)
Sc 0.250 0.250 0.750 (multiplicity 4)
Ru 0.000 0.000 0.500 (multiplicity 4)

Output
The energy of formation comes out at -0.35 eV/atom.

***

Density functional theory data (PBE-GGA) for CuRe2Pb after structural relaxation.

a b c (Å): 3.163 3.163 6.830
angles (deg): 90.00 90.00 90.00
Space group P4/mmm (No. 123)
Asymmetric unit:
Cu 0.000 0.000 0.000 (multiplicity 1)
Re 0.500 0.500 0.183 (multiplicity 2)
Pb 0.000 0.000 0.500 (multiplicity 1)

Output
For the energy above the most stable polymorph in this dataset, the calculation gives 1.71 eV per formula unit. The energy of formation comes out at 0.91 eV/atom.

***

Density functional theory data (PBE-GGA) for Sr3ZrAl after structural relaxation.

a b c (Å): 5.991 5.991 5.991
angles (deg): 90.00 90.00 90.00
Space group Pm-3m (No. 221)
Asymmetric unit:
Sr 0.000 0.000 0.500 (multiplicity 3)
Zr 0.000 0.000 0.000 (multiplicity 1)
Al 0.500 0.500 0.500 (multiplicity 1)

Output
For the energy above the most stable polymorph in this dataset, the calculation gives 1.26 eV per formula unit. The energy of formation comes out at 0.98 eV/atom.

***

Density functional theory data (PBE-GGA) for Ta2RuAu after structural relaxation.

a b c (Å): 3.984 3.984 8.486
angles (deg): 90.00 90.00 90.00
Space group I-4m2 (No. 119)
Asymmetric unit:
Ta 0.000 0.000 0.000 (multiplicity 2)
Ta 0.000 0.500 0.250 (multiplicity 2)
Ru 0.000 0.000 0.500 (multiplicity 2)
Au 0.000 0.500 0.750 (multiplicity 2)

Output
For the energy above the most stable polymorph in this dataset, the calculation gives 0.51 eV per formula unit. The energy of formation comes out at -0.03 eV/atom.

***

Density functional theory data (PBE-GGA) for Mg3ZrHg after structural relaxation.

a b c (Å): 5.092 5.092 5.092
angles (deg): 90.00 90.00 90.00
Space group Pm-3m (No. 221)
Asymmetric unit:
Mg 0.000 0.000 0.500 (multiplicity 3)
Zr 0.500 0.500 0.500 (multiplicity 1)
Hg 0.000 0.000 0.000 (multiplicity 1)

Output
For the energy above the most stable polymorph in this dataset, the calculation gives 0.00 eV per formula unit. The energy of formation comes out at 0.50 eV/atom.

***

Density functional theory data (PBE-GGA) for PmY4Ag2 after structural relaxation.

a b c (Å): 5.0068 5.0068 30.4649
angles (deg): 90.00 90.00 120.00
Space group R-3m (No. 166, hexagonal axes)
Asymmetric unit:
Pm 0.0000 0.0000 0.0000 (multiplicity 3)
Y 0.0000 0.0000 0.2022 (multiplicity 6)
Y 0.0000 0.0000 0.3958 (multiplicity 6)
Ag 0.0000 0.0000 0.1017 (multiplicity 6)

Output
The energy of formation comes out at 0.16 eV/atom.

***

Density functional theory data (PBE-GGA) for Hf2CuW after structural relaxation.

a b c (Å): 4.620 4.620 3.333
angles (deg): 90.00 90.00 90.00
Space group P4/mmm (No. 123)
Asymmetric unit:
Hf 0.000 0.500 0.000 (multiplicity 2)
Cu 0.000 0.000 0.500 (multiplicity 1)
W 0.500 0.500 0.500 (multiplicity 1)

Output
The energy of formation comes out at 0.00 eV/atom.

***

Number 1: D(E_F) 1.50 states/eV per atom, calculated density 5.94 g/cm3. Number 2: D(E_F) 1.81 states/eV per atom, calculated density 12.98 g/cm3. Number 3: D(E_F) 0.00 states/eV per atom, calculated density 3.24 g/cm3. Number 4: D(E_F) 1.43 states/eV per atom, calculated density 7.25 g/cm3. Number 5: D(E_F) 0.89 states/eV per atom, calculated density 15.03 g/cm3. Number 6: D(E_F) 0.78 states/eV per atom, calculated density 7.33 g/cm3. Number 7: D(E_F) 0.71 states/eV per atom, calculated density 15.63 g/cm3. Number 8: D(E_F) 1.12 states/eV per atom, calculated density 2.94 g/cm3. Number 9: D(E_F) 0.87 states/eV per atom, calculated density 16.27 g/cm3. Number 10: D(E_F) 0.69 states/eV per atom, calculated density 4.59 g/cm3. Number 11: D(E_F) 1.71 states/eV per atom, calculated density 5.40 g/cm3. Number 12: D(E_F) 0.97 states/eV per atom, calculated density 14.11 g/cm3.